No. 1
First-principles (GGA-PBE) data for crystalline Y4BiAu at its relaxed geometry, as listed in Alexandria.

Lattice parameters (Å, degrees): 8.441 4.132 19.641 90.00 90.00 90.00
Atoms (fractional coordinates):
Y: 0.010 0.250 0.069
Y: 0.027 0.250 0.785
Y: 0.131 0.250 0.556
Y: 0.151 0.250 0.349
Y: 0.349 0.750 0.849
Y: 0.369 0.750 0.056
Y: 0.473 0.750 0.285
Y: 0.490 0.750 0.569
Y: 0.510 0.250 0.431
Y: 0.527 0.250 0.715
Y: 0.631 0.250 0.944
Y: 0.651 0.250 0.151
Y: 0.849 0.750 0.651
Y: 0.869 0.750 0.444
Y: 0.973 0.750 0.215
Y: 0.990 0.750 0.931
Bi: 0.226 0.750 0.688
Bi: 0.274 0.250 0.188
Bi: 0.726 0.750 0.812
Bi: 0.774 0.250 0.312
Au: 0.249 0.250 0.948
Au: 0.251 0.750 0.448
Au: 0.749 0.250 0.552
Au: 0.751 0.750 0.052

Summary:
The uncorrected energy is -6.109 eV per atom. The calculated formation energy is -0.61 eV/atom. The crystal system is orthorhombic.

No. 2
First-principles (GGA-PBE) data for crystalline YBi2Au2 at its relaxed geometry, as listed in Alexandria.

Lattice parameters (Å, degrees): 8.306 8.306 3.737 90.00 90.00 90.00
Atoms (fractional coordinates):
Y: 0.000 0.000 0.000
Y: 0.500 0.500 0.000
Bi: 0.145 0.355 0.000
Bi: 0.355 0.855 0.000
Bi: 0.645 0.145 0.000
Bi: 0.855 0.645 0.000
Au: 0.158 0.658 0.500
Au: 0.342 0.158 0.500
Au: 0.658 0.842 0.500
Au: 0.842 0.342 0.500

Summary:
Its energy above the lowest structure with this stoichiometry is 206.2 meV/atom. The uncorrected energy is -4.347 eV per atom. The calculated formation energy is -0.19 eV/atom. The crystal system is tetragonal.

No. 3
First-principles (GGA-PBE) data for crystalline Y2Bi2Au at its relaxed geometry, as listed in Alexandria.

Lattice parameters (Å, degrees): 8.158 8.158 4.251 90.00 90.00 90.00
Atoms (fractional coordinates):
Y: 0.157 0.343 0.000
Y: 0.343 0.843 0.000
Y: 0.657 0.157 0.000
Y: 0.843 0.657 0.000
Bi: 0.154 0.654 0.500
Bi: 0.346 0.154 0.500
Bi: 0.654 0.846 0.500
Bi: 0.846 0.346 0.500
Au: 0.000 0.000 0.500
Au: 0.500 0.500 0.500

Summary:
Its energy above the lowest structure with this stoichiometry is 69.0 meV/atom. The uncorrected energy is -5.293 eV per atom. The calculated formation energy is -0.50 eV/atom. The crystal system is tetragonal.

No. 4
First-principles (GGA-PBE) data for crystalline YBiAu2 at its relaxed geometry, as listed in Alexandria.

Lattice parameters (Å, degrees): 3.614 3.614 7.316 90.00 90.00 90.00
Atoms (fractional coordinates):
Y: 0.000 0.000 0.000
Bi: 0.000 0.000 0.500
Au: 0.500 0.500 0.229
Au: 0.500 0.500 0.771

Summary:
The uncorrected energy is -4.790 eV per atom. The calculated formation energy is -0.56 eV/atom. The crystal system is tetragonal.

Repeat the third record exactly.
First-principles (GGA-PBE) data for crystalline Y2Bi2Au at its relaxed geometry, as listed in Alexandria.

Lattice parameters (Å, degrees): 8.158 8.158 4.251 90.00 90.00 90.00
Atoms (fractional coordinates):
Y: 0.157 0.343 0.000
Y: 0.343 0.843 0.000
Y: 0.657 0.157 0.000
Y: 0.843 0.657 0.000
Bi: 0.154 0.654 0.500
Bi: 0.346 0.154 0.500
Bi: 0.654 0.846 0.500
Bi: 0.846 0.346 0.500
Au: 0.000 0.000 0.500
Au: 0.500 0.500 0.500

Summary:
Its energy above the lowest structure with this stoichiometry is 69.0 meV/atom. The uncorrected energy is -5.293 eV per atom. The calculated formation energy is -0.50 eV/atom. The crystal system is tetragonal.

- Look up the uncorrected energy of the fourth one.
  -4.790 eV per atom

- Number 4 is which compound?
  YBiAu2

- Among the records above, which one has the highest calculated formation energy?
  YBi2Au2